P.
An optimized crystal structure of LaGeMo3. Source: Alexandria, functional PBE.

* total magnetization: 0.00 μB/f.u.

Cell: 4.7783 4.7783 4.7783 Å, 90.00 90.00 90.00°
Element x y z (fractional)
1 La 0.0000 0.0000 0.0000
2 Ge 0.5000 0.5000 0.5000
3 Mo 0.0000 0.5000 0.5000
4 Mo 0.5000 0.0000 0.5000
5 Mo 0.5000 0.5000 0.0000

=====

Q.
An optimized crystal structure of LaGeMo3. Source: Alexandria, functional PBE.

* total magnetization: 1.90 μB/f.u.

Cell: 4.8362 4.8362 4.8362 Å, 90.00 90.00 90.00°
Element x y z (fractional)
1 La 0.0000 0.0000 0.0000
2 Ge 0.5000 0.5000 0.5000
3 Mo 0.0000 0.0000 0.5000
4 Mo 0.0000 0.5000 0.0000
5 Mo 0.5000 0.0000 0.0000

=====

Stability summary - winner: P; margin: 1.400 eV/atom.

=====

P.
An optimized crystal structure of La4Ge2N. Source: Alexandria, functional PBE.

* total magnetization: 0.74 μB/f.u.

Cell: 7.0851 6.8885 8.8187 Å, 90.00 108.31 90.00°
Element x y z (fractional)
1 La 0.0123 0.0009 0.2459
2 La 0.0123 0.4991 0.2459
3 La 0.4236 0.2500 0.5818
4 La 0.4365 0.2500 0.1325
5 La 0.5635 0.7500 0.8675
6 La 0.5764 0.7500 0.4182
7 La 0.9877 0.5009 0.7541
8 La 0.9877 0.9991 0.7541
9 Ge 0.2188 0.7500 0.5543
10 Ge 0.2511 0.7500 0.0623
11 Ge 0.7489 0.2500 0.9377
12 Ge 0.7812 0.2500 0.4457
13 N 0.2450 0.2500 0.3099
14 N 0.7550 0.7500 0.6901

=====

Q.
An optimized crystal structure of La4Ge2N. Source: Alexandria, functional PBE.

* total magnetization: 0.00 μB/f.u.

Cell: 8.7807 8.7807 8.7807 Å, 147.51 147.51 46.61°
Element x y z (fractional)
1 La 0.0000 0.5000 0.5000
2 La 0.1726 0.1726 0.0000
3 La 0.5000 0.0000 0.5000
4 La 0.8274 0.8274 0.0000
5 Ge 0.3633 0.3633 0.0000
6 Ge 0.6367 0.6367 0.0000
7 N 0.0000 0.0000 0.0000

=====

R.
An optimized crystal structure of La4Ge2N. Source: Alexandria, functional PBE.

* total magnetization: 0.01 μB/f.u.

Cell: 9.1047 9.1047 9.1047 Å, 149.24 149.24 44.06°
Element x y z (fractional)
1 La 0.0000 0.5000 0.5000
2 La 0.1800 0.1800 0.0000
3 La 0.5000 0.0000 0.5000
4 La 0.8200 0.8200 0.0000
5 Ge 0.3610 0.3610 0.0000
6 Ge 0.6390 0.6390 0.0000
7 N 0.5000 0.5000 0.0000

=====

Stability summary - winner: P; margin: 0.015 eV/atom.

=====

P.
An optimized crystal structure of La4GeN. Source: Alexandria, functional PBE.

* total magnetization: 0.00 μB/f.u.

Cell: 8.0836 8.0836 8.0836 Å, 104.14 104.14 120.75°
Element x y z (fractional)
1 La 0.2015 0.2617 0.5602
2 La 0.2015 0.6413 0.9398
3 La 0.2617 0.2015 0.0602
4 La 0.3587 0.7985 0.5602
5 La 0.6413 0.2015 0.4398
6 La 0.7383 0.7985 0.9398
7 La 0.7985 0.3587 0.0602
8 La 0.7985 0.7383 0.4398
9 Ge 0.1250 0.8750 0.2500
10 Ge 0.8750 0.1250 0.7500
11 N 0.3750 0.6250 0.7500
12 N 0.6250 0.3750 0.2500

=====

Q.
An optimized crystal structure of La4GeN. Source: Alexandria, functional PBE.

* total magnetization: 0.00 μB/f.u.

Cell: 7.8518 7.8518 7.5117 Å, 107.10 107.10 47.67°
Element x y z (fractional)
1 La 0.0197 0.1745 0.4650
2 La 0.1745 0.0197 0.9650
3 La 0.2594 0.3921 0.8330
4 La 0.3921 0.2594 0.3330
5 La 0.6079 0.7406 0.6670
6 La 0.7406 0.6079 0.1670
7 La 0.8255 0.9803 0.0350
8 La 0.9803 0.8255 0.5350
9 Ge 0.3479 0.6521 0.2500
10 Ge 0.6521 0.3479 0.7500
11 N 0.0000 0.5000 0.5000
12 N 0.5000 0.0000 0.0000

=====

Stability summary - winner: P; margin: 0.010 eV/atom.

=====

P.
An optimized crystal structure of La2GeN3. Source: Alexandria, functional PBE.

* total magnetization: 0.00 μB/f.u.

Cell: 6.8966 6.8966 6.8966 Å, 149.27 146.16 46.36°
Element x y z (fractional)
1 La 0.1463 0.1463 0.0000
2 La 0.8537 0.8537 0.0000
3 Ge 0.5000 0.5000 0.0000
4 N 0.0000 0.5000 0.5000
5 N 0.3414 0.3414 0.0000
6 N 0.6586 0.6586 0.0000

=====

Q.
An optimized crystal structure of La2GeN3. Source: Alexandria, functional PBE.

* total magnetization: 0.00 μB/f.u.

Cell: 6.2438 6.2438 12.0988 Å, 91.38 91.38 126.54°
Element x y z (fractional)
1 La 0.0347 0.4302 0.3541
2 La 0.1224 0.3468 0.9302
3 La 0.3468 0.1224 0.4302
4 La 0.4302 0.0347 0.8541
5 La 0.5698 0.9653 0.1459
6 La 0.6532 0.8776 0.5698
7 La 0.8776 0.6532 0.0698
8 La 0.9653 0.5698 0.6459
9 Ge 0.2683 0.2677 0.1642
10 Ge 0.2677 0.2683 0.6642
11 Ge 0.7323 0.7317 0.3358
12 Ge 0.7317 0.7323 0.8358
13 N 0.0119 0.9881 0.7500
14 N 0.1284 0.3275 0.5383
15 N 0.1438 0.4746 0.1353
16 N 0.3275 0.1284 0.0383
17 N 0.4094 0.5906 0.7500
18 N 0.4746 0.1438 0.6353
19 N 0.5254 0.8562 0.3647
20 N 0.5906 0.4094 0.2500
21 N 0.6725 0.8716 0.9617
22 N 0.8562 0.5254 0.8647
23 N 0.8716 0.6725 0.4617
24 N 0.9881 0.0119 0.2500

=====

Stability summary - winner: P; margin: 0.013 eV/atom.